Entry from Alexandria via LeMat-Bulk: a relaxed structure of BaRe3 (PBE).

Values from the calculation:
The value obtained for the total energy is -9.00 eV per atom. As for the total magnetic moment: 0.000 μB per formula unit. As for the density of states at the Fermi level: 3.98 states/eV/f.u. Its excess energy over the best structure of this formula in the dataset is 0.220 eV per atom. The crystal system is tetragonal.

Lattice parameters (Å, degrees): 3.216 3.216 8.097 90.00 90.00 90.00
Space group P4/mmm (No. 123)
Asymmetric unit:
1 Ba 0.000 0.000 0.000 [1 per cell]
2 Re 0.000 0.000 0.500 [1 per cell]
3 Re 0.500 0.500 0.334 [2 per cell]

Entry from Alexandria via LeMat-Bulk: a relaxed structure of Ba5Re (PBE).

Values from the calculation:
The value obtained for the total energy is -3.10 eV per atom. As for the total magnetic moment: 0.566 μB per formula unit. As for the density of states at the Fermi level: 10.20 states/eV/f.u. Its excess energy over the best structure of this formula in the dataset is 0.000 eV per atom. The crystal system is monoclinic.

Lattice parameters (Å, degrees): 14.918 4.035 10.769 90.00 115.18 90.00
Space group C2/m (No. 12)
Asymmetric unit:
1 Ba 0.000 0.000 0.000 [2 per cell]
2 Ba 0.115 0.500 0.387 [4 per cell]
3 Ba 0.161 0.500 0.760 [4 per cell]
4 Re 0.000 0.000 0.500 [2 per cell]

Entry from Alexandria via LeMat-Bulk: a relaxed structure of BaRe (PBE).

Values from the calculation:
The value obtained for the total energy is -5.38 eV per atom. As for the total magnetic moment: 0.001 μB per formula unit. As for the density of states at the Fermi level: 2.48 states/eV/f.u. Its excess energy over the best structure of this formula in the dataset is 1.399 eV per atom. The crystal system is hexagonal.

Lattice parameters (Å, degrees): 3.0842 3.0842 5.8245 90.00 90.00 120.00
Space group P-6m2 (No. 187)
Asymmetric unit:
1 Ba 0.0000 0.0000 0.0000 [1 per cell]
2 Re 0.3333 0.6667 0.5000 [1 per cell]

Entry from Alexandria via LeMat-Bulk: a relaxed structure of BaRe (PBE).

Values from the calculation:
The value obtained for the total energy is -6.21 eV per atom. As for the total magnetic moment: 0.000 μB per formula unit. As for the density of states at the Fermi level: 2.26 states/eV/f.u. Its excess energy over the best structure of this formula in the dataset is 0.572 eV per atom. The crystal system is orthorhombic.

Lattice parameters (Å, degrees): 4.527 3.421 9.067 90.00 90.00 90.00
Space group Pmma (No. 51)
Asymmetric unit:
1 Ba 0.250 0.000 0.230 [2 per cell]
2 Re 0.250 0.500 0.540 [2 per cell]

Entry from Alexandria via LeMat-Bulk: a relaxed structure of BaRe3 (PBE).

Values from the calculation:
The value obtained for the total energy is -8.81 eV per atom. As for the total magnetic moment: 0.006 μB per formula unit. As for the density of states at the Fermi level: 5.63 states/eV/f.u. Its excess energy over the best structure of this formula in the dataset is 0.413 eV per atom. The crystal system is orthorhombic.

Lattice parameters (Å, degrees): 2.939 4.060 7.367 90.00 90.00 90.00
Space group Pmm2 (No. 25)
Asymmetric unit:
1 Ba 0.000 0.000 0.000 [1 per cell]
2 Re 0.000 0.500 0.366 [1 per cell]
3 Re 0.500 0.000 0.484 [1 per cell]
4 Re 0.500 0.500 0.685 [1 per cell]

Entry from Alexandria via LeMat-Bulk: a relaxed structure of BaRe5 (PBE).

Values from the calculation:
The value obtained for the total energy is -9.86 eV per atom. As for the total magnetic moment: 0.000 μB per formula unit. As for the density of states at the Fermi level: 5.84 states/eV/f.u. Its excess energy over the best structure of this formula in the dataset is 0.249 eV per atom. The crystal system is orthorhombic.

Lattice parameters (Å, degrees): 4.005 3.975 17.095 90.00 90.00 90.00
Space group Amm2 (No. 38)
Asymmetric unit:
1 Ba 0.000 0.000 0.000 [2 per cell]
2 Re 0.000 0.000 0.315 [2 per cell]
3 Re 0.000 0.000 0.716 [2 per cell]
4 Re 0.500 0.000 0.216 [2 per cell]
5 Re 0.500 0.000 0.627 [2 per cell]
6 Re 0.500 0.000 0.828 [2 per cell]